#P
Entry from Alexandria via LeMat-Bulk: a relaxed structure of CuSi2Ir (PBE).

Calculated values
D(E_F)	1.3	states/eV per cell
spin magnetization	0.0	μB/f.u.

Cell lengths 2.930, 4.565, 4.537 Å; angles 90.00, 107.53, 90.00 degrees
Space group Pm (No. 6)
Asymmetric unit:
Cu 0.000 0.000 0.000 [1 per cell]
Si 0.111 0.500 0.225 [1 per cell]
Si 0.704 0.000 0.447 [1 per cell]
Ir 0.815 0.500 0.663 [1 per cell]

***

#Q
Entry from Alexandria via LeMat-Bulk: a relaxed structure of CuSi2Ir (PBE).

Calculated values
D(E_F)	1.3	states/eV per cell
spin magnetization	0.0	μB/f.u.

Cell lengths 2.859, 4.045, 4.756 Å; angles 90.00, 90.00, 90.00 degrees
Space group Pmmm (No. 47)
Asymmetric unit:
Cu 0.000 0.000 0.000 [1 per cell]
Si 0.000 0.500 0.500 [1 per cell]
Si 0.500 0.500 0.000 [1 per cell]
Ir 0.500 0.000 0.500 [1 per cell]

***

#R
Entry from Alexandria via LeMat-Bulk: a relaxed structure of CuSi2Ir (PBE).

Calculated values
D(E_F)	2.1	states/eV per cell
spin magnetization	0.0	μB/f.u.

Cell lengths 7.946, 2.907, 4.661 Å; angles 90.00, 98.60, 90.00 degrees
Space group C2/m (No. 12)
Asymmetric unit:
Cu 0.000 0.000 0.000 [2 per cell]
Si 0.243 0.000 0.749 [4 per cell]
Ir 0.000 0.500 0.500 [2 per cell]

***

#S
Entry from Alexandria via LeMat-Bulk: a relaxed structure of CuSi2Ir (PBE).

Calculated values
D(E_F)	1.2	states/eV per cell
spin magnetization	0.0	μB/f.u.

Cell lengths 2.854, 3.477, 5.304 Å; angles 90.00, 90.00, 90.00 degrees
Space group Pmmm (No. 47)
Asymmetric unit:
Cu 0.000 0.000 0.000 [1 per cell]
Si 0.500 0.500 0.240 [2 per cell]
Ir 0.000 0.000 0.500 [1 per cell]

***

Quick one: least stable of them? #Q

***

#P
Entry from Alexandria via LeMat-Bulk: a relaxed structure of CuSi2Ir (PBE).

Calculated values
D(E_F)	2.6	states/eV per cell
spin magnetization	0.0	μB/f.u.

Cell lengths 8.801, 2.848, 4.271 Å; angles 90.00, 95.18, 90.00 degrees
Space group Cm (No. 8)
Asymmetric unit:
Cu 0.000 0.000 0.000 [2 per cell]
Si 0.012 0.500 0.491 [2 per cell]
Si 0.253 0.500 0.180 [2 per cell]
Ir 0.246 0.000 0.676 [2 per cell]

***

#Q
Entry from Alexandria via LeMat-Bulk: a relaxed structure of CuSi2Ir (PBE).

Calculated values
D(E_F)	1.6	states/eV per cell
spin magnetization	0.0	μB/f.u.

Cell lengths 2.812, 2.812, 6.966 Å; angles 90.00, 90.00, 90.00 degrees
Space group P4mm (No. 99)
Asymmetric unit:
Cu 0.000 0.000 0.000 [1 per cell]
Si 0.000 0.000 0.483 [1 per cell]
Si 0.500 0.500 0.762 [1 per cell]
Ir 0.500 0.500 0.273 [1 per cell]

***

#R
Entry from Alexandria via LeMat-Bulk: a relaxed structure of CuSi2Ir (PBE).

Calculated values
D(E_F)	4.4	states/eV per cell
spin magnetization	0.0	μB/f.u.

Cell lengths 3.698, 3.698, 7.666 Å; angles 90.00, 90.00, 90.00 degrees
Space group I-4m2 (No. 119)
Asymmetric unit:
Cu 0.000 0.000 0.000 [2 per cell]
Si 0.000 0.000 0.500 [2 per cell]
Si 0.000 0.500 0.250 [2 per cell]
Ir 0.000 0.500 0.750 [2 per cell]

***

#S
Entry from Alexandria via LeMat-Bulk: a relaxed structure of CuSi2Ir (PBE).

Calculated values
D(E_F)	3.5	states/eV per cell
spin magnetization	0.0	μB/f.u.

Cell lengths 2.725, 3.729, 11.363 Å; angles 90.00, 90.00, 90.00 degrees
Space group Imm2 (No. 44)
Asymmetric unit:
Cu 0.000 0.000 0.000 [2 per cell]
Si 0.000 0.000 0.412 [2 per cell]
Si 0.000 0.500 0.153 [2 per cell]
Ir 0.000 0.500 0.729 [2 per cell]

***

Quick one: least stable of them? #Q

***

#P
Entry from Alexandria via LeMat-Bulk: a relaxed structure of CuSiIr (PBE).

Calculated values
D(E_F)	2.6	states/eV per cell
spin magnetization	0.0	μB/f.u.

Cell lengths 5.573, 5.573, 5.573 Å; angles 90.00, 90.00, 90.00 degrees
Space group F-43m (No. 216)
Asymmetric unit:
Cu 0.000 0.000 0.000 [4 per cell]
Si 0.250 0.250 0.250 [4 per cell]
Ir 0.000 0.000 0.500 [4 per cell]

***

#Q
Entry from Alexandria via LeMat-Bulk: a relaxed structure of CuSiIr (PBE).

Calculated values
D(E_F)	3.2	states/eV per cell
spin magnetization	0.0	μB/f.u.

Cell lengths 2.997, 2.997, 8.702 Å; angles 90.00, 90.00, 90.00 degrees
Space group I4mm (No. 107)
Asymmetric unit:
Cu 0.000 0.000 0.000 [2 per cell]
Si 0.000 0.000 0.653 [2 per cell]
Ir 0.000 0.000 0.304 [2 per cell]

***

Quick one: least stable of them? #Q

***

#P
Entry from Alexandria via LeMat-Bulk: a relaxed structure of CuSiIr (PBE).

Calculated values
D(E_F)	8.7	states/eV per cell
spin magnetization	0.0	μB/f.u.

Cell lengths 2.825, 4.766, 12.307 Å; angles 90.00, 90.00, 90.00 degrees
Space group Fmm2 (No. 42)
Asymmetric unit:
Cu 0.000 0.000 0.000 [4 per cell]
Si 0.000 0.000 0.658 [4 per cell]
Ir 0.000 0.000 0.315 [4 per cell]

***

#Q
Entry from Alexandria via LeMat-Bulk: a relaxed structure of CuSiIr (PBE).

Calculated values
D(E_F)	1.1	states/eV per cell
spin magnetization	0.0	μB/f.u.

Cell lengths 4.0376, 4.0376, 2.9182 Å; angles 90.00, 90.00, 120.00 degrees
Space group P3m1 (No. 156)
Asymmetric unit:
Cu 0.0000 0.0000 0.0000 [1 per cell]
Si 0.3333 0.6667 0.5759 [1 per cell]
Ir 0.6667 0.3333 0.4982 [1 per cell]

***

Quick one: least stable of them? #P

***

#P
Entry from Alexandria via LeMat-Bulk: a relaxed structure of Cu3SiIr (PBE).

Calculated values
D(E_F)	1.9	states/eV per cell
spin magnetization	0.0	μB/f.u.

Cell lengths 4.243, 4.243, 4.243 Å; angles 90.00, 90.00, 90.00 degrees
Space group Pm-3m (No. 221)
Asymmetric unit:
Cu 0.000 0.000 0.500 [3 per cell]
Si 0.000 0.000 0.000 [1 per cell]
Ir 0.500 0.500 0.500 [1 per cell]

***

#Q
Entry from Alexandria via LeMat-Bulk: a relaxed structure of Cu3SiIr (PBE).

Calculated values
D(E_F)	3.9	states/eV per cell
spin magnetization	0.0	μB/f.u.

Cell lengths 4.629, 4.629, 4.629 Å; angles 90.00, 90.00, 90.00 degrees
Space group Pm-3m (No. 221)
Asymmetric unit:
Cu 0.000 0.000 0.500 [3 per cell]
Si 0.500 0.500 0.500 [1 per cell]
Ir 0.000 0.000 0.000 [1 per cell]

***

Quick one: least stable of them? #Q

***

#P
Entry from Alexandria via LeMat-Bulk: a relaxed structure of Sm2CuIr2 (PBE).

Calculated values
D(E_F)	6.7	states/eV per cell
spin magnetization	0.0	μB/f.u.

Cell lengths 4.253, 5.773, 8.413 Å; angles 90.00, 90.00, 90.00 degrees
Space group Immm (No. 71)
Asymmetric unit:
Sm 0.000 0.000 0.203 [4 per cell]
Cu 0.000 0.500 0.000 [2 per cell]
Ir 0.000 0.266 0.500 [4 per cell]

***

#Q
Entry from Alexandria via LeMat-Bulk: a relaxed structure of Sm2CuIr2 (PBE).

Calculated values
D(E_F)	9.9	states/eV per cell
spin magnetization	0.0	μB/f.u.

Cell lengths 9.870, 5.487, 7.964 Å; angles 90.00, 106.09, 90.00 degrees
Space group C2/c (No. 15)
Asymmetric unit:
Sm 0.147 0.147 0.150 [8 per cell]
Cu 0.000 0.355 0.750 [4 per cell]
Ir 0.134 0.357 0.512 [8 per cell]

***

Quick one: least stable of them? #Q

***

#P
Entry from Alexandria via LeMat-Bulk: a relaxed structure of Sr2CuIr2 (PBE).

Calculated values
D(E_F)	14.6	states/eV per cell
spin magnetization	0.0	μB/f.u.

Cell lengths 6.833, 6.833, 4.768 Å; angles 90.00, 90.00, 90.00 degrees
Space group P4/mbm (No. 127)
Asymmetric unit:
Sr 0.178 0.322 0.000 [4 per cell]
Cu 0.000 0.000 0.500 [2 per cell]
Ir 0.129 0.629 0.500 [4 per cell]

***

#Q
Entry from Alexandria via LeMat-Bulk: a relaxed structure of Sr2CuIr2 (PBE).

Calculated values
D(E_F)	2.7	states/eV per cell
spin magnetization	0.0	μB/f.u.

Cell lengths 4.626, 5.105, 9.654 Å; angles 90.00, 90.00, 90.00 degrees
Space group Immm (No. 71)
Asymmetric unit:
Sr 0.000 0.000 0.191 [4 per cell]
Cu 0.000 0.500 0.000 [2 per cell]
Ir 0.000 0.255 0.500 [4 per cell]

***

#R
Entry from Alexandria via LeMat-Bulk: a relaxed structure of Sr2CuIr2 (PBE).

Calculated values
D(E_F)	10.8	states/eV per cell
spin magnetization	0.0	μB/f.u.

Cell lengths 9.066, 5.903, 8.625 Å; angles 90.00, 100.49, 90.00 degrees
Space group C2/c (No. 15)
Asymmetric unit:
Sr 0.153 0.131 0.155 [8 per cell]
Cu 0.000 0.411 0.750 [4 per cell]
Ir 0.130 0.369 0.506 [8 per cell]

***

Quick one: least stable of them? #P

***

#P
Entry from Alexandria via LeMat-Bulk: a relaxed structure of TaCuIr2 (PBE).

Calculated values
D(E_F)	6.9	states/eV per cell
spin magnetization	0.0	μB/f.u.

Cell lengths 9.236, 2.807, 4.706 Å; angles 90.00, 100.46, 90.00 degrees
Space group Cm (No. 8)
Asymmetric unit:
Ta 0.000 0.000 0.000 [2 per cell]
Cu 0.260 0.500 0.276 [2 per cell]
Ir 0.011 0.500 0.495 [2 per cell]
Ir 0.244 0.000 0.772 [2 per cell]

***

#Q
Entry from Alexandria via LeMat-Bulk: a relaxed structure of TaCuIr2 (PBE).

Calculated values
D(E_F)	16.7	states/eV per cell
spin magnetization	0.3	μB/f.u.

Cell lengths 2.7731, 2.7731, 27.0597 Å; angles 90.00, 90.00, 120.00 degrees
Space group R3m (No. 160, hexagonal axes)
Asymmetric unit:
Ta 0.0000 0.0000 0.0000 [3 per cell]
Cu 0.0000 0.0000 0.7522 [3 per cell]
Ir 0.0000 0.0000 0.2480 [3 per cell]
Ir 0.0000 0.0000 0.4981 [3 per cell]

***

Quick one: least stable of them? #Q